Compound: Be2FeCuW
Source: Alexandria via LeMat-Bulk
Functional: GGA-PBEsol
Structure: optimized geometry

```
5
Lattice="3.823 0.000 0.000 0.000 3.823 0.000 0.000 0.000 4.222" Properties=species:S:1:pos:R:3 pbc="T T T"
Be 0.000 1.912 0.000
Be 1.912 0.000 0.000
Fe 0.000 0.000 2.111
Cu 0.000 0.000 0.000
W 1.912 1.912 2.111
```

Results
raw total energy = -5.9980 eV per atom
space group = No. 123
E_form = 5.115 eV per formula unit